No. 1
Density functional theory data (PBE) for a relaxed structure of NaTi3Si.

E_form (uncorrected)   1531.7 meV/atom
VASP energy   -22.8 eV per cell
Space-group type   Pm-3m
Relative energy among the computed polymorphs   1.0278 eV per atom

Geometry as CIF:
```
data_NaTi3Si
_chemical_formula_sum 'Na1 Ti3 Si1'
_space_group_name_H-M_alt 'P 1'
_space_group_IT_number 1
_cell_length_a 4.582
_cell_length_b 4.582
_cell_length_c 4.582
_cell_angle_alpha 90.00
_cell_angle_beta 90.00
_cell_angle_gamma 90.00
loop_
_space_group_symop_operation_xyz
'x,y,z'
loop_
_atom_site_label
_atom_site_type_symbol
_atom_site_fract_x
_atom_site_fract_y
_atom_site_fract_z
Na1 Na 0.000 0.000 0.000
Ti1 Ti 0.000 0.000 0.500
Ti2 Ti 0.000 0.500 0.000
Ti3 Ti 0.500 0.000 0.000
Si1 Si 0.500 0.500 0.500
```

---

No. 2
Density functional theory data (PBE) for a relaxed structure of Cs6Pd3Br14.

E_form (uncorrected)   -983.4 meV/atom
VASP energy   -66.7 eV per cell
Space-group type   P3

Geometry as CIF:
```
data_Cs6Pd3Br14
_chemical_formula_sum 'Cs6 Pd3 Br14'
_space_group_name_H-M_alt 'P 1'
_space_group_IT_number 1
_cell_length_a 12.912
_cell_length_b 12.912
_cell_length_c 7.116
_cell_angle_alpha 90.00
_cell_angle_beta 90.00
_cell_angle_gamma 120.00
loop_
_space_group_symop_operation_xyz
'x,y,z'
loop_
_atom_site_label
_atom_site_type_symbol
_atom_site_fract_x
_atom_site_fract_y
_atom_site_fract_z
Cs1 Cs 0.043 0.575 0.000
Cs2 Cs 0.288 0.088 0.481
Cs3 Cs 0.425 0.468 0.000
Cs4 Cs 0.532 0.957 0.000
Cs5 Cs 0.801 0.712 0.481
Cs6 Cs 0.912 0.199 0.481
Pd1 Pd 0.000 0.000 0.899
Pd2 Pd 0.333 0.667 0.415
Pd3 Pd 0.667 0.333 0.246
Br1 Br 0.000 0.000 0.253
Br2 Br 0.066 0.852 0.798
Br3 Br 0.148 0.214 0.798
Br4 Br 0.193 0.453 0.309
Br5 Br 0.260 0.807 0.309
Br6 Br 0.333 0.667 0.769
Br7 Br 0.482 0.215 0.043
Br8 Br 0.547 0.398 0.448
Br9 Br 0.547 0.740 0.309
Br10 Br 0.602 0.149 0.448
Br11 Br 0.733 0.518 0.043
Br12 Br 0.785 0.267 0.043
Br13 Br 0.786 0.934 0.798
Br14 Br 0.851 0.453 0.448
```

---

No. 3
Density functional theory data (PBE) for a relaxed structure of CrNiW4.

VASP energy   -62.9 eV per cell
Space-group type   F-43m

Geometry as CIF:
```
data_CrNiW4
_chemical_formula_sum 'Cr1 Ni1 W4'
_space_group_name_H-M_alt 'P 1'
_space_group_IT_number 1
_cell_length_a 5.196
_cell_length_b 5.196
_cell_length_c 5.196
_cell_angle_alpha 60.00
_cell_angle_beta 60.00
_cell_angle_gamma 60.00
loop_
_space_group_symop_operation_xyz
'x,y,z'
loop_
_atom_site_label
_atom_site_type_symbol
_atom_site_fract_x
_atom_site_fract_y
_atom_site_fract_z
Cr1 Cr 0.000 0.000 0.000
Ni1 Ni 0.750 0.750 0.750
W1 W 0.375 0.375 0.375
W2 W 0.375 0.375 0.874
W3 W 0.375 0.874 0.375
W4 W 0.874 0.375 0.375
```

---

No. 4
Density functional theory data (PBE) for a relaxed structure of SrHo2Ru.

VASP energy   -20.9 eV per cell
Space-group type   P4/mmm
Relative energy among the computed polymorphs   0.0000 eV per atom

Geometry as CIF:
```
data_SrHo2Ru
_chemical_formula_sum 'Sr1 Ho2 Ru1'
_space_group_name_H-M_alt 'P 1'
_space_group_IT_number 1
_cell_length_a 3.459
_cell_length_b 3.459
_cell_length_c 9.881
_cell_angle_alpha 90.00
_cell_angle_beta 90.00
_cell_angle_gamma 90.00
loop_
_space_group_symop_operation_xyz
'x,y,z'
loop_
_atom_site_label
_atom_site_type_symbol
_atom_site_fract_x
_atom_site_fract_y
_atom_site_fract_z
Sr1 Sr 0.000 0.000 0.000
Ho1 Ho 0.500 0.500 0.337
Ho2 Ho 0.500 0.500 0.663
Ru1 Ru 0.000 0.000 0.500
```